A plane-wave DFT calculation with meta-GGA SCAN was carried out for a crystal of MoIO2 relaxed with PBEsol.

abc: 3.178 3.178 28.416
angles: 90.00 90.00 120.00
Sites, in units of the cell vectors:
Mo  0.000  0.000  0.000
Mo  0.333  0.667  0.667
Mo  0.667  0.333  0.333
I  0.000  0.000  0.500
I  0.333  0.667  0.167
I  0.667  0.333  0.833
O  0.000  0.000  0.365
O  0.000  0.000  0.635
O  0.333  0.667  0.032
O  0.333  0.667  0.302
O  0.667  0.333  0.698
O  0.667  0.333  0.968

## Properties
**DOS(E_F)**: 0.598 states/eV per atom
**Space group**: R-3m, No. 166
**Raw formation energy**: -4.6 eV per formula unit